Entry 1:
15
Lattice="7.421 0.000 4.002 2.631 6.939 4.002 -0.042 -0.029 8.959" Properties=species:S:1:pos:R:3 comment="La8Ni3Cl4, optimized geometry, DFT PBE" total_energy_ev_per_atom=-5.184 e_form_raw_ev_per_atom=-0.908 density_g_cm3=5.13 n_ef_per_ev_cell=19.555 magnetic_moment_mub_per_fu=0.003 pbc="T T T"
Cl 0.000 0.000 0.000
La 2.530 1.747 8.437
Ni 3.690 -0.014 6.480
La 6.402 1.747 10.525
La 2.270 1.567 4.672
Cl 6.456 4.457 5.792
La 7.481 5.164 8.526
La 3.609 5.164 6.438
Cl 3.555 2.454 11.172
La 7.741 5.343 12.292
Ni 1.295 3.455 6.480
Cl 5.005 3.455 8.482
La 6.108 1.543 6.438
Ni -0.021 -0.014 4.479
La 3.903 5.367 10.525

***

Entry 2:
3
Lattice="-0.173 -2.643 -2.365 -1.851 -0.199 3.024 -5.096 2.951 -2.926" Properties=species:S:1:pos:R:3 comment="HgTeRu, optimized geometry, DFT PBE" total_energy_ev_per_atom=-4.113 e_form_raw_ev_per_atom=0.127 density_g_cm3=9.92 magnetic_moment_mub_per_fu=0.000 e_above_lowest_polymorph_ev_per_fu=0.23 pbc="T T T"
Hg -4.666 0.450 -2.827
Te -1.930 -1.135 -1.256
Ru -3.661 0.358 -0.133

***

Entry 3:
3
Lattice="1.158 -3.472 1.996 -1.272 -0.678 3.912 -2.804 -2.983 0.793" Properties=species:S:1:pos:R:3 comment="ZrCuNi, optimized geometry, DFT PBE" total_energy_ev_per_atom=-6.167 density_g_cm3=6.92 n_ef_per_ev_cell=2.797 magnetic_moment_mub_per_fu=0.000 e_above_lowest_polymorph_ev_per_fu=0.79 formation_enthalpy_0k_ev_per_atom=-0.03 pbc="T T T"
Cu -1.459 -3.567 3.351
Ni -0.729 -1.783 1.675
Zr 0.000 0.000 0.000

***

Entry 4:
12
Lattice="10.293 0.100 0.062 8.457 5.868 0.062 8.457 2.692 5.214" Properties=species:S:1:pos:R:3 comment="Ca3Mg7Zn2, optimized geometry, DFT PBE" total_energy_ev_per_atom=-1.746 density_g_cm3=2.28 n_ef_per_ev_cell=9.791 magnetic_moment_mub_per_fu=0.000 formation_enthalpy_0k_ev_per_atom=-0.10 pbc="T T T"
Ca 23.295 7.414 4.570
Mg 11.484 3.655 0.467
Ca 3.912 1.245 0.767
Mg 13.603 4.329 2.669
Zn 9.073 2.888 1.780
Mg 15.722 5.004 4.871
Mg 16.645 3.701 2.282
Mg 10.562 4.957 3.056
Ca 0.000 0.000 0.000
Mg 11.484 2.059 3.056
Mg 15.722 6.600 2.282
Zn 18.134 5.771 3.557

***

Entry 5:
15
Lattice="6.727 -0.069 -0.099 -3.230 8.603 1.095 -3.230 -1.959 8.448" Properties=species:S:1:pos:R:3 comment="Tb8Ho3Th4, optimized geometry, DFT PBE" total_energy_ev_per_atom=-4.939 density_g_cm3=8.98 n_ef_per_ev_cell=28.636 magnetic_moment_mub_per_fu=0.001 formation_enthalpy_0k_ev_per_atom=0.42 pbc="T T T"
Tb -3.230 4.845 3.711
Tb 0.134 5.872 2.923
Tb 1.771 1.684 2.419
Th -1.615 -0.980 4.224
Tb -3.230 1.798 5.832
Th 3.364 -0.034 -0.050
Th -1.615 4.301 0.548
Th 0.000 0.000 0.000
Ho 1.749 -1.014 4.174
Tb -1.504 4.890 7.025
Tb 5.011 1.684 2.419
Ho 0.134 3.287 4.722
Tb 0.134 0.702 6.521
Ho 1.749 4.267 0.498
Tb -4.744 4.890 7.024

***

Entry 6:
12
Lattice="-6.353 -3.388 -2.254 1.444 -4.349 -5.998 2.008 -7.232 0.978" Properties=species:S:1:pos:R:3 comment="Tb5ErTe6, optimized geometry, DFT PBE" total_energy_ev_per_atom=-5.175 e_form_raw_ev_per_atom=-1.295 density_g_cm3=8.15 n_ef_per_ev_cell=5.549 magnetic_moment_mub_per_fu=0.000 pbc="T T T"
Te -3.672 -5.819 -6.212
Te -2.839 -9.194 -3.509
Te 1.101 -9.682 -5.403
Tb 2.299 -7.712 -3.354
Tb -1.293 -7.772 -5.766
Te -4.001 -5.288 -1.871
Tb -2.454 -3.869 -4.126
Er 0.000 0.000 0.000
Te -1.236 -1.919 -2.040
Tb 1.153 -3.869 -1.667
Te -0.061 -5.775 -3.766
Tb -1.608 -7.197 -1.509

***

Entry 7:
11
Lattice="6.453 -0.011 0.052 -3.199 5.604 0.052 -1.167 -2.005 7.009" Properties=species:S:1:pos:R:3 comment="Sm6C2Br2N, optimized geometry, DFT PBE" total_energy_ev_per_atom=-6.199 e_form_raw_ev_per_atom=-0.887 density_g_cm3=7.18 n_ef_per_ev_cell=6.591 magnetic_moment_mub_per_fu=0.008 pbc="T T T"
Sm -1.624 0.824 4.850
Sm 0.568 4.593 2.263
Br 4.810 0.945 0.052
Sm 3.711 2.764 2.263
Br -1.557 4.649 0.052
Sm 0.523 0.899 2.189
C 2.672 0.847 3.556
Sm 1.564 2.689 4.924
C -0.585 2.741 3.556
Sm 1.519 -1.004 4.850
N -0.583 -1.003 3.504

***

Entry 8:
18
Lattice="8.112 0.067 0.034 -3.011 7.532 -0.034 -2.702 -3.698 6.696" Properties=species:S:1:pos:R:3 comment="Tm6Co2Pd, optimized geometry, DFT PBE" total_energy_ev_per_atom=-5.503 density_g_cm3=10.01 n_ef_per_ev_cell=15.624 magnetic_moment_mub_per_fu=0.000 formation_enthalpy_0k_ev_per_atom=-0.37 pbc="T T T"
Tm -2.371 4.879 4.538
Tm -3.363 2.257 6.537
Pd -2.857 1.917 3.331
Co 0.509 -0.342 5.925
Tm 4.624 4.727 1.245
Tm -2.226 -0.825 5.451
Co 1.889 4.244 0.771
Tm 5.761 1.645 0.159
Tm 2.478 1.529 1.245
Tm -0.080 2.373 5.451
Tm -0.180 0.121 2.826
Tm 2.698 0.413 4.572
Tm 2.578 3.781 3.870
Pd 0.000 0.000 0.000
Co 3.375 -2.265 4.199
Tm -0.300 3.489 2.124
Co 2.034 -1.365 2.531
Tm 4.769 -0.977 2.158

***

Entry 9:
5
Lattice="-0.112 -5.034 -0.468 1.861 -0.477 4.678 -4.409 -0.064 1.747" Properties=species:S:1:pos:R:3 comment="BeSbTe2Au, optimized geometry, DFT PBE" total_energy_ev_per_atom=-2.934 e_form_raw_ev_per_atom=0.548 density_g_cm3=7.98 n_ef_per_ev_cell=3.326 magnetic_moment_mub_per_fu=0.000 e_above_lowest_polymorph_ev_per_fu=0.00 pbc="T T T"
Te 0.930 -0.238 2.339
Te -0.056 -2.517 -0.234
Au -1.330 -2.787 2.978
Be 0.000 0.000 0.000
Sb -2.204 -0.032 0.874

***

Entry 10:
10
Lattice="-1.762 -1.436 7.847 -5.302 -5.794 -2.251 1.377 -8.209 3.060" Properties=species:S:1:pos:R:3 comment="Rb2CaPtI6, optimized geometry, DFT PBE" total_energy_ev_per_atom=-2.918 e_form_raw_ev_per_atom=-0.990 density_g_cm3=4.32 n_ef_per_ev_cell=0.000 magnetic_moment_mub_per_fu=0.000 pbc="T T T"
I -4.365 -9.757 5.740
Rb -1.958 -6.630 6.853
I -4.496 -4.801 0.049
I -2.568 -2.429 5.547
Pt 0.000 0.000 0.000
I -5.455 -5.584 4.321
Ca -3.532 -3.615 2.798
I -1.322 -5.683 2.916
I -1.609 -1.647 1.275
Rb -3.728 -8.809 1.803

***

Entry 11:
11
Lattice="5.383 -0.056 0.062 -2.710 4.652 0.062 -0.943 -1.621 5.432" Properties=species:S:1:pos:R:3 comment="Na2ZnPd2O6, optimized geometry, DFT PBE" total_energy_ev_per_atom=-4.985 e_form_raw_ev_per_atom=-0.981 density_g_cm3=5.12 magnetic_moment_mub_per_fu=0.000 pbc="T T T"
Pd -0.473 2.266 2.778
O -1.458 0.785 3.808
O 1.403 -0.879 3.808
O 0.442 0.760 1.706
Zn -0.472 -0.811 2.716
O 0.327 3.854 1.748
O 3.188 2.189 1.748
Na 4.061 0.713 0.062
Pd 2.204 0.708 2.778
O 1.288 2.214 3.850
Na -1.388 3.883 0.062

***

Entry 12:
12
Lattice="5.596 0.000 0.000 0.000 7.142 0.000 0.000 -3.571 6.357" Properties=species:S:1:pos:R:3 comment="LiAg2Cl2F, optimized geometry, DFT PBE" total_energy_ev_per_atom=-3.369 e_form_raw_ev_per_atom=-1.172 density_g_cm3=4.09 n_ef_per_ev_cell=0.000 magnetic_moment_mub_per_fu=0.000 pbc="T T T"
Cl 1.293 4.965 1.899
Ag 4.161 4.833 1.944
Cl 4.090 2.177 1.899
Li 1.938 6.394 0.000
F 3.791 6.308 0.000
Cl 4.090 -1.394 4.457
Ag 4.161 1.262 4.413
Cl 1.293 1.394 4.457
Ag 1.364 -1.262 4.413
Ag 1.364 2.309 1.944
F 0.993 0.833 0.000
Li 4.736 0.748 0.000